Entry 1:
First-principles (PBE) data for a relaxed structure of HoThGaHg, as listed in Alexandria.

Calculated values
Calculated formation energy (meV per atom): -387.3
SG: F-43m (216)
Crystal system: cubic

Cell lengths 5.2537, 5.2537, 5.2537 Å; angles 60.00, 60.00, 60.00 degrees
Last column: nearest neighbours and their distance in Å.
Sites, in units of the cell vectors:
Ho (0.0000, 0.0000, 0.0000)  4 Ga 3.22, 4 Hg 3.22
Th (0.5000, 0.5000, 0.5000)  4 Ga 3.22, 4 Hg 3.22
Ga (0.7500, 0.7500, 0.7500)  4 Th 3.22, 4 Ho 3.22
Hg (0.2500, 0.2500, 0.2500)  4 Th 3.22, 4 Ho 3.22

---

Entry 2:
First-principles (PBE) data for a relaxed structure of NiSnAsSe2, as listed in Alexandria.

Calculated values
ΔE_f (raw) (eV/atom): 0.126
SG: P4/mmm (123)
Crystal system: tetragonal

Cell lengths 5.0683, 5.0683, 4.3433 Å; angles 90.00, 90.00, 90.00 degrees
Last column: nearest neighbours and their distance in Å.
Sites, in units of the cell vectors:
Ni (0.0000, 0.0000, 0.0000)  2 As 2.17
Sn (0.5000, 0.5000, 0.5000)  8 Se 3.34, 4 As 3.58
As (0.0000, 0.0000, 0.5000)  2 Ni 2.17
Se (0.0000, 0.5000, 0.0000)  2 Ni 2.53
Se (0.5000, 0.0000, 0.0000)  2 Ni 2.53

---

Entry 3:
First-principles (PBE) data for a relaxed structure of NdY, as listed in Alexandria.

Calculated values
Calculated formation energy (meV per atom): 100.2
SG: Pm-3m (221)
Crystal system: cubic

Cell lengths 4.0865, 4.0865, 4.0865 Å; angles 90.00, 90.00, 90.00 degrees
Last column: nearest neighbours and their distance in Å.
Sites, in units of the cell vectors:
Nd (0.0000, 0.0000, 0.0000)  8 Y 3.54
Y (0.5000, 0.5000, 0.5000)  8 Nd 3.54

---

Entry 4:
First-principles (PBE) data for a relaxed structure of Pm7Ni2Rh2, as listed in Alexandria.

Calculated values
Calculated formation energy (meV per atom): -195.2
SG: Cmmm (65)
Crystal system: orthorhombic

Cell lengths 6.7947, 6.7947, 7.0167 Å; angles 90.00, 90.00, 103.46 degrees
Last column: nearest neighbours and their distance in Å.
Sites, in units of the cell vectors:
Pm (0.0000, 0.0000, 0.0000)  2 Rh 2.95
Pm (0.0000, 0.5000, 0.2638)  2 Rh 2.82, 2 Ni 3.14
Pm (0.0000, 0.5000, 0.7362)  2 Rh 2.82, 2 Ni 3.14
Pm (0.5000, 0.0000, 0.2638)  2 Rh 2.82, 2 Ni 3.14
Pm (0.5000, 0.0000, 0.7362)  2 Rh 2.82, 2 Ni 3.14
Pm (0.5000, 0.5000, 0.2577)  2 Ni 2.80, 2 Rh 2.99
Pm (0.5000, 0.5000, 0.7423)  2 Ni 2.80, 2 Rh 2.99
Ni (0.2359, 0.2359, 0.5000)  2 Pm 2.80
Ni (0.7641, 0.7641, 0.5000)  2 Pm 2.80
Rh (0.2763, 0.7237, 0.0000)  7 Pm 2.82-2.99
Rh (0.7237, 0.2763, 0.0000)  7 Pm 2.82-2.99

---

Entry 5:
First-principles (PBE) data for a relaxed structure of LaGd2Ta, as listed in Alexandria.

Calculated values
Calculated formation energy (meV per atom): 639.8
SG: R-3m (166)
Crystal system: trigonal

Cell lengths 12.1707, 12.1707, 12.1707 Å; angles 15.57, 15.57, 15.57 degrees
Last column: nearest neighbours and their distance in Å.
Sites, in units of the cell vectors:
La (0.0000, 0.0000, 0.0000)  6 La 3.30, 6 Gd 3.64
Gd (0.4195, 0.4195, 0.4195)  1 Ta 2.90
Gd (0.5805, 0.5805, 0.5805)  1 Ta 2.90
Ta (0.5000, 0.5000, 0.5000)  2 Gd 2.90

---

Entry 6:
First-principles (PBE) data for a relaxed structure of Y7Ho3Er2, as listed in Alexandria.

Calculated values
Calculated formation energy (meV per atom): 93.0
SG: P2/m (10)
Crystal system: monoclinic

Cell lengths 5.7791, 3.5683, 18.6245 Å; angles 90.00, 93.58, 90.00 degrees
Last column: nearest neighbours and their distance in Å.
Sites, in units of the cell vectors:
Y (0.0000, 0.0000, 0.0000)  4 Y 3.35-3.57, 4 Ho 3.40
Y (0.1862, 0.5000, 0.1811)  6 Y 3.45-3.57, 2 Er 3.57-3.59
Y (0.2577, 0.5000, 0.5366)  1 Er 3.13, 2 Y 3.19-3.20
Y (0.3176, 0.0000, 0.8559)  2 Er 3.33, 2 Ho 3.34, 7 Y 3.35-3.57
Y (0.6824, 0.0000, 0.1441)  2 Er 3.33, 2 Ho 3.34, 7 Y 3.35-3.57
Y (0.7423, 0.5000, 0.4634)  1 Er 3.13, 2 Y 3.19-3.20
Y (0.8138, 0.5000, 0.8189)  6 Y 3.45-3.57, 2 Er 3.57-3.59
Ho (0.2200, 0.0000, 0.3669)  2 Ho 3.57, 8 Y 3.62-3.89, 4 Er 3.64-3.65
Ho (0.5000, 0.5000, 0.0000)  8 Y 3.34-3.40, 2 Ho 3.57
Ho (0.7800, 0.0000, 0.6331)  2 Ho 3.57, 8 Y 3.62-3.89, 4 Er 3.64-3.65
Er (0.2931, 0.5000, 0.7048)  3 Y 3.13-3.33
Er (0.7069, 0.5000, 0.2952)  3 Y 3.13-3.33

---

Entry 7:
First-principles (PBE) data for a relaxed structure of PmErPb2, as listed in Alexandria.

Calculated values
Calculated formation energy (meV per atom): -450.1
SG: P4/mmm (123)
Crystal system: tetragonal

Cell lengths 3.5646, 3.5646, 9.0236 Å; angles 90.00, 90.00, 90.00 degrees
Last column: nearest neighbours and their distance in Å.
Sites, in units of the cell vectors:
Pm (0.0000, 0.0000, 0.0000)  8 Pb 3.43, 4 Pm 3.56
Er (0.0000, 0.0000, 0.5000)  8 Pb 3.33, 4 Er 3.56
Pb (0.5000, 0.5000, 0.2581)  4 Er 3.33, 4 Pm 3.43, 4 Pb 3.56
Pb (0.5000, 0.5000, 0.7419)  4 Er 3.33, 4 Pm 3.43, 4 Pb 3.56

---

Entry 8:
First-principles (PBE) data for a relaxed structure of YMgMn, as listed in Alexandria.

Calculated values
Calculated formation energy (meV per atom): 341.9
SG: P3m1 (156)
Crystal system: trigonal

Cell lengths 3.2845, 3.2845, 7.4231 Å; angles 90.00, 90.00, 120.00 degrees
Last column: nearest neighbours and their distance in Å.
Sites, in units of the cell vectors:
Y (0.0000, 0.0000, 0.0000)  3 Mn 2.99, 6 Y 3.28
Mg (0.3333, 0.6667, 0.3885)  3 Mn 2.92
Mn (0.6667, 0.3333, 0.6882)  3 Mg 2.92, 3 Y 2.99

---

Entry 9:
First-principles (PBE) data for a relaxed structure of La4Nd3Dy2, as listed in Alexandria.

Calculated values
Calculated formation energy (meV per atom): 21.1
SG: C2/m (12)
Crystal system: monoclinic

Cell lengths 8.2313, 8.2313, 8.1866 Å; angles 107.40, 107.40, 37.04 degrees
Last column: nearest neighbours and their distance in Å.
Sites, in units of the cell vectors:
La (0.0549, 0.0549, 0.3299)  6 Nd 3.66-3.72, 2 Dy 3.67, 4 La 3.70-3.71
La (0.2768, 0.2768, 0.6696)  3 Dy 3.62-3.67, 4 Nd 3.67-3.71, 5 La 3.70-3.71
La (0.7232, 0.7232, 0.3304)  3 Dy 3.62-3.67, 4 Nd 3.67-3.71, 5 La 3.70-3.71
La (0.9451, 0.9451, 0.6701)  6 Nd 3.66-3.72, 2 Dy 3.67, 4 La 3.70-3.71
Nd (0.3877, 0.3877, 0.3299)  3 Dy 3.64-3.66, 2 Nd 3.65-3.73, 7 La 3.67-3.72
Nd (0.5000, 0.5000, 0.0000)  2 Nd 3.65, 6 La 3.66-3.68, 4 Dy 3.70
Nd (0.6123, 0.6123, 0.6701)  3 Dy 3.64-3.66, 2 Nd 3.65-3.73, 7 La 3.67-3.72
Dy (0.1678, 0.1678, 0.9993)  5 La 3.62-3.67, 5 Nd 3.64-3.70, 2 Dy 3.66
Dy (0.8322, 0.8322, 0.0007)  5 La 3.62-3.67, 5 Nd 3.64-3.70, 2 Dy 3.66

---

Entry 10:
First-principles (PBE) data for a relaxed structure of Ho5Er3Sb8, as listed in Alexandria.

Calculated values
ΔE_f (raw) (eV/atom): -1.106
SG: R-3m (166)
Crystal system: trigonal

Cell lengths 8.7234, 8.7234, 8.7234 Å; angles 60.00, 60.00, 60.00 degrees
Last column: nearest neighbours and their distance in Å.
Sites, in units of the cell vectors:
Ho (0.0000, 0.0000, 0.0000)  6 Sb 3.08
Ho (0.0000, 0.5000, 0.5000)  6 Sb 3.09
Ho (0.5000, 0.0000, 0.5000)  6 Sb 3.09
Ho (0.5000, 0.5000, 0.0000)  6 Sb 3.09
Ho (0.5000, 0.5000, 0.5000)  6 Sb 3.08
Er (0.0000, 0.0000, 0.5000)  6 Sb 3.08
Er (0.0000, 0.5000, 0.0000)  6 Sb 3.08
Er (0.5000, 0.0000, 0.0000)  6 Sb 3.08
Sb (0.2492, 0.7500, 0.7500)  2 Er 3.08, 4 Ho 3.08-3.09
Sb (0.2497, 0.2497, 0.2497)  3 Er 3.08, 3 Ho 3.09
Sb (0.2500, 0.2500, 0.7508)  2 Er 3.08, 4 Ho 3.08-3.09
Sb (0.2500, 0.7508, 0.2500)  2 Er 3.08, 4 Ho 3.08-3.09
Sb (0.7500, 0.2492, 0.7500)  2 Er 3.08, 4 Ho 3.08-3.09
Sb (0.7500, 0.7500, 0.2492)  2 Er 3.08, 4 Ho 3.08-3.09
Sb (0.7503, 0.7503, 0.7503)  3 Er 3.08, 3 Ho 3.09
Sb (0.7508, 0.2500, 0.2500)  2 Er 3.08, 4 Ho 3.08-3.09

---

Entry 11:
First-principles (PBE) data for a relaxed structure of Y3Co5Se12, as listed in Alexandria.

Calculated values
ΔE_f (raw) (eV/atom): -0.704
SG: Ia-3d (230)
Crystal system: cubic

Cell lengths 13.1558, 13.1558, 13.1558 Å; angles 109.47, 109.47, 109.47 degrees
Last column: nearest neighbours and their distance in Å.
Sites, in units of the cell vectors:
Y (0.1250, 0.2500, 0.3750)  8 Se 2.97-3.00
Y (0.1250, 0.3750, 0.7500)  8 Se 2.97-3.00
Y (0.2500, 0.3750, 0.1250)  8 Se 2.97-3.00
Y (0.2500, 0.8750, 0.6250)  8 Se 2.97-3.00
Y (0.3750, 0.1250, 0.2500)  8 Se 2.97-3.00
Y (0.3750, 0.7500, 0.1250)  8 Se 2.97-3.00
Y (0.6250, 0.2500, 0.8750)  8 Se 2.97-3.00
Y (0.6250, 0.8750, 0.7500)  8 Se 2.97-3.00
Y (0.7500, 0.1250, 0.3750)  8 Se 2.97-3.00
Y (0.7500, 0.6250, 0.8750)  8 Se 2.97-3.00
Y (0.8750, 0.6250, 0.2500)  8 Se 2.97-3.00
Y (0.8750, 0.7500, 0.6250)  8 Se 2.97-3.00
Co (0.0000, 0.0000, 0.0000)  6 Se 2.41
Co (0.0000, 0.0000, 0.5000)  6 Se 2.41
Co (0.0000, 0.5000, 0.0000)  6 Se 2.41
Co (0.0000, 0.5000, 0.5000)  6 Se 2.41
Co (0.1250, 0.7500, 0.8750)  4 Se 2.31
Co (0.1250, 0.8750, 0.2500)  4 Se 2.31
Co (0.2500, 0.1250, 0.8750)  4 Se 2.31
Co (0.2500, 0.6250, 0.3750)  4 Se 2.31
Co (0.3750, 0.2500, 0.6250)  4 Se 2.31
Co (0.3750, 0.6250, 0.7500)  4 Se 2.31
Co (0.5000, 0.0000, 0.0000)  6 Se 2.41
Co (0.5000, 0.0000, 0.5000)  6 Se 2.41
Co (0.5000, 0.5000, 0.0000)  6 Se 2.41
Co (0.5000, 0.5000, 0.5000)  6 Se 2.41
Co (0.6250, 0.3750, 0.2500)  4 Se 2.31
Co (0.6250, 0.7500, 0.3750)  4 Se 2.31
Co (0.7500, 0.3750, 0.6250)  4 Se 2.31
Co (0.7500, 0.8750, 0.1250)  4 Se 2.31
Co (0.8750, 0.1250, 0.7500)  4 Se 2.31
Co (0.8750, 0.2500, 0.1250)  4 Se 2.31
Se (0.0257, 0.2016, 0.1148)  2 Co 2.31-2.41
Se (0.0257, 0.3241, 0.9109)  2 Co 2.31-2.41
Se (0.0868, 0.7016, 0.6759)  2 Co 2.31-2.41
Se (0.0868, 0.8852, 0.4109)  2 Co 2.31-2.41
Se (0.0891, 0.6148, 0.4132)  2 Co 2.31-2.41
Se (0.0891, 0.9743, 0.6759)  2 Co 2.31-2.41
Se (0.1148, 0.0257, 0.2016)  2 Co 2.31-2.41
Se (0.1148, 0.5891, 0.9132)  2 Co 2.31-2.41
Se (0.1759, 0.2016, 0.5868)  2 Co 2.31-2.41
Se (0.1759, 0.4743, 0.5891)  2 Co 2.31-2.41
Se (0.2016, 0.1148, 0.0257)  2 Co 2.31-2.41
Se (0.2016, 0.5868, 0.1759)  2 Co 2.31-2.41
Se (0.2984, 0.3241, 0.9132)  2 Co 2.31-2.41
Se (0.2984, 0.4743, 0.3852)  2 Co 2.31-2.41
Se (0.3241, 0.9109, 0.0257)  2 Co 2.31-2.41
Se (0.3241, 0.9132, 0.2984)  2 Co 2.31-2.41
Se (0.3852, 0.2984, 0.4743)  2 Co 2.31-2.41
Se (0.3852, 0.5868, 0.9109)  2 Co 2.31-2.41
Se (0.4109, 0.0868, 0.8852)  2 Co 2.31-2.41
Se (0.4109, 0.8241, 0.5257)  2 Co 2.31-2.41
Se (0.4132, 0.0891, 0.6148)  2 Co 2.31-2.41
Se (0.4132, 0.8241, 0.7984)  2 Co 2.31-2.41
Se (0.4743, 0.3852, 0.2984)  2 Co 2.31-2.41
Se (0.4743, 0.5891, 0.1759)  2 Co 2.31-2.41
Se (0.5257, 0.4109, 0.8241)  2 Co 2.31-2.41
Se (0.5257, 0.6148, 0.7016)  2 Co 2.31-2.41
Se (0.5868, 0.1759, 0.2016)  2 Co 2.31-2.41
Se (0.5868, 0.9109, 0.3852)  2 Co 2.31-2.41
Se (0.5891, 0.1759, 0.4743)  2 Co 2.31-2.41
Se (0.5891, 0.9132, 0.1148)  2 Co 2.31-2.41
Se (0.6148, 0.4132, 0.0891)  2 Co 2.31-2.41
Se (0.6148, 0.7016, 0.5257)  2 Co 2.31-2.41
Se (0.6759, 0.0868, 0.7016)  2 Co 2.31-2.41
Se (0.6759, 0.0891, 0.9743)  2 Co 2.31-2.41
Se (0.7016, 0.5257, 0.6148)  2 Co 2.31-2.41
Se (0.7016, 0.6759, 0.0868)  2 Co 2.31-2.41
Se (0.7984, 0.4132, 0.8241)  2 Co 2.31-2.41
Se (0.7984, 0.8852, 0.9743)  2 Co 2.31-2.41
Se (0.8241, 0.5257, 0.4109)  2 Co 2.31-2.41
Se (0.8241, 0.7984, 0.4132)  2 Co 2.31-2.41
Se (0.8852, 0.4109, 0.0868)  2 Co 2.31-2.41
Se (0.8852, 0.9743, 0.7984)  2 Co 2.31-2.41
Se (0.9109, 0.0257, 0.3241)  2 Co 2.31-2.41
Se (0.9109, 0.3852, 0.5868)  2 Co 2.31-2.41
Se (0.9132, 0.1148, 0.5891)  2 Co 2.31-2.41
Se (0.9132, 0.2984, 0.3241)  2 Co 2.31-2.41
Se (0.9743, 0.6759, 0.0891)  2 Co 2.31-2.41
Se (0.9743, 0.7984, 0.8852)  2 Co 2.31-2.41

---

Entry 12:
First-principles (PBE) data for a relaxed structure of Ag2WBr, as listed in Alexandria.

Calculated values
ΔE_f (raw) (eV/atom): 0.613
SG: Cmm2 (35)
Crystal system: orthorhombic

Cell lengths 2.9846, 2.9846, 10.1644 Å; angles 90.00, 90.00, 118.31 degrees
Last column: nearest neighbours and their distance in Å.
Sites, in units of the cell vectors:
Ag (0.0000, 0.0000, 0.0000)  8 Ag 2.84-3.06, 2 W 2.85
Ag (0.5000, 0.5000, 0.2359)  8 Ag 2.84-3.06
W (0.5000, 0.5000, 0.7640)  2 Br 2.60, 2 Ag 2.85
Br (0.0000, 0.0000, 0.5570)  2 W 2.60

---

| no. | energy (Ry per atom) |
| --- | --- |
| 1 | -0.3101 |
| 2 | -0.3053 |
| 3 | -0.4054 |
| 4 | -0.4120 |
| 5 | -0.7788 |
| 6 | -0.4103 |
| 7 | -0.3405 |
| 8 | -0.3970 |
| 9 | -0.3514 |
| 10 | -0.4008 |
| 11 | -0.4073 |
| 12 | -0.3285 |